First-principles (PBE) data for a geometry-optimized U2GaI8 structure, as listed in the Alexandria database.

a b c (Å): 10.2499 10.2499 6.2264
angles (deg): 90.00 90.00 120.00
Closest atoms and distances in Å follow each position.
Sites, in units of the cell vectors:
U (0.3333, 0.6667, 0.2338)  5 I 2.94-3.17
U (0.6667, 0.3333, 0.7662)  5 I 2.94-3.17
Ga (0.0000, 0.0000, 0.0000)  6 I 3.37
I (0.1667, 0.8313, 0.2526)  1 U 2.94
I (0.1687, 0.3354, 0.2526)  1 U 2.94
I (0.3333, 0.6667, 0.7429)  2 U 3.06-3.17
I (0.3354, 0.1667, 0.7474)  1 U 2.94
I (0.6646, 0.8333, 0.2526)  1 U 2.94
I (0.6667, 0.3333, 0.2571)  2 U 3.06-3.17
I (0.8313, 0.6646, 0.7474)  1 U 2.94
I (0.8333, 0.1687, 0.7474)  1 U 2.94

Summary:
**Space group**: P-3 (147)
**E above lowest polymorph**: 0 meV per atom

***

First-principles (PBE) data for a geometry-optimized UGa3I8 structure, as listed in the Alexandria database.

a b c (Å): 8.0401 8.0401 9.3144
angles (deg): 90.00 90.00 113.22
Closest atoms and distances in Å follow each position.
Sites, in units of the cell vectors:
U (0.0000, 0.0000, 0.0000)  6 I 2.93-2.97
Ga (0.0000, 0.0000, 0.5000)  6 I 3.26-3.27
Ga (0.0000, 0.5000, 0.2846)  4 I 2.99-3.31
Ga (0.5000, 0.0000, 0.7154)  4 I 2.99-3.31
I (0.2181, 0.7819, 0.0000)  1 U 2.93
I (0.2272, 0.2411, 0.2281)  1 U 2.97, 2 Ga 3.27-3.31
I (0.2411, 0.2272, 0.7719)  1 U 2.97, 2 Ga 3.27-3.31
I (0.2425, 0.7575, 0.5000)  3 Ga 2.99-3.26
I (0.7575, 0.2425, 0.5000)  3 Ga 2.99-3.26
I (0.7589, 0.7728, 0.7719)  1 U 2.97, 2 Ga 3.27-3.31
I (0.7728, 0.7589, 0.2281)  1 U 2.97, 2 Ga 3.27-3.31
I (0.7819, 0.2181, 0.0000)  1 U 2.93

Summary:
**Space group**: C222 (21)

***

First-principles (PBE) data for a geometry-optimized UGa2I8 structure, as listed in the Alexandria database.

a b c (Å): 9.0495 9.0495 7.5282
angles (deg): 99.32 99.32 78.74
Closest atoms and distances in Å follow each position.
Sites, in units of the cell vectors:
U (0.0000, 0.0000, 0.0000)  6 I 3.05-3.06
Ga (0.2086, 0.2086, 0.6746)  4 I 2.63-2.88
Ga (0.7914, 0.7914, 0.3254)  4 I 2.63-2.88
I (0.0831, 0.7291, 0.2150)  1 Ga 2.82, 1 U 3.06
I (0.1904, 0.1904, 0.2858)  1 Ga 2.88, 1 U 3.05
I (0.2709, 0.9169, 0.7850)  1 Ga 2.82, 1 U 3.06
I (0.3914, 0.3914, 0.8559)  1 Ga 2.63
I (0.6086, 0.6086, 0.1441)  1 Ga 2.63
I (0.7291, 0.0831, 0.2150)  1 Ga 2.82, 1 U 3.06
I (0.8096, 0.8096, 0.7142)  1 Ga 2.88, 1 U 3.05
I (0.9169, 0.2709, 0.7850)  1 Ga 2.82, 1 U 3.06

Summary:
**Space group**: C2/m (12)

***

First-principles (PBE) data for a geometry-optimized UGa3I7 structure, as listed in the Alexandria database.

a b c (Å): 8.3324 8.3324 8.4633
angles (deg): 110.76 110.76 69.85
Closest atoms and distances in Å follow each position.
Sites, in units of the cell vectors:
U (0.0000, 0.0000, 0.0000)  7 I 3.05-3.38
Ga (0.1546, 0.6985, 0.4387)  5 I 3.08-3.38
Ga (0.4015, 0.4015, 0.9827)  5 I 3.08-3.28
Ga (0.6985, 0.1546, 0.4387)  5 I 3.08-3.38
I (0.0537, 0.6299, 0.7485)  1 U 3.05, 2 Ga 3.28-3.30
I (0.0849, 0.0849, 0.7127)  1 U 3.11, 2 Ga 3.23
I (0.2738, 0.2738, 0.2070)  3 Ga 3.08-3.38, 1 U 3.38
I (0.3379, 0.8065, 0.2335)  1 U 3.10, 2 Ga 3.18-3.27
I (0.6299, 0.0537, 0.7485)  1 U 3.05, 2 Ga 3.28-3.30
I (0.8065, 0.3379, 0.2335)  1 U 3.10, 2 Ga 3.18-3.27
I (0.8275, 0.8275, 0.1560)  2 Ga 3.08, 1 U 3.16

Summary:
**Space group**: Cm (8)

***

First-principles (PBE) data for a geometry-optimized V3GaI structure, as listed in the Alexandria database.

a b c (Å): 4.8404 4.8404 4.8404
angles (deg): 90.00 90.00 90.00
Closest atoms and distances in Å follow each position.
Sites, in units of the cell vectors:
V (0.0000, 0.0000, 0.5000)  2 Ga 2.42
V (0.0000, 0.5000, 0.0000)  2 Ga 2.42
V (0.5000, 0.0000, 0.0000)  2 Ga 2.42
Ga (0.0000, 0.0000, 0.0000)  6 V 2.42
I (0.5000, 0.5000, 0.5000)  12 V 3.42

Summary:
**Space group**: Pm-3m (221)
**E above lowest polymorph**: 0 meV per atom

***

First-principles (PBE) data for a geometry-optimized VGa2I8 structure, as listed in the Alexandria database.

a b c (Å): 7.8410 7.8410 10.1923
angles (deg): 101.83 101.83 96.11
Closest atoms and distances in Å follow each position.
Sites, in units of the cell vectors:
V (0.0000, 0.0000, 0.0000)  6 I 2.89, 2 Ga 3.05
Ga (0.1590, 0.1590, 0.3057)  4 I 2.50-2.64
Ga (0.8410, 0.8410, 0.6943)  4 I 2.50-2.64
I (0.1658, 0.8254, 0.2040)  1 Ga 2.62, 1 V 2.89
I (0.1746, 0.8342, 0.7960)  1 Ga 2.62, 1 V 2.89
I (0.2880, 0.2880, 0.1204)  1 Ga 2.64, 1 V 2.89
I (0.2908, 0.2908, 0.5560)  1 Ga 2.50
I (0.7092, 0.7092, 0.4440)  1 Ga 2.50
I (0.7120, 0.7120, 0.8796)  1 Ga 2.64, 1 V 2.89
I (0.8254, 0.1658, 0.2040)  1 Ga 2.62, 1 V 2.89
I (0.8342, 0.1746, 0.7960)  1 Ga 2.62, 1 V 2.89

Summary:
**Space group**: C2/m (12)
**E above lowest polymorph**: 27 meV per atom

***

First-principles (PBE) data for a geometry-optimized VGa2I2 structure, as listed in the Alexandria database.

a b c (Å): 7.3947 7.3947 4.8918
angles (deg): 90.00 90.00 90.00
Closest atoms and distances in Å follow each position.
Sites, in units of the cell vectors:
V (0.0000, 0.0000, 0.0000)  4 Ga 2.86
V (0.5000, 0.5000, 0.0000)  4 Ga 2.86
Ga (0.1383, 0.3617, 0.0000)  2 V 2.86, 1 Ga 2.89, 2 I 3.04
Ga (0.3617, 0.8617, 0.0000)  2 V 2.86, 1 Ga 2.89, 2 I 3.04
Ga (0.6383, 0.1383, 0.0000)  2 V 2.86, 1 Ga 2.89, 2 I 3.04
Ga (0.8617, 0.6383, 0.0000)  2 V 2.86, 1 Ga 2.89, 2 I 3.04
I (0.1884, 0.6884, 0.5000)  2 Ga 3.04
I (0.3116, 0.1884, 0.5000)  2 Ga 3.04
I (0.6884, 0.8116, 0.5000)  2 Ga 3.04
I (0.8116, 0.3116, 0.5000)  2 Ga 3.04

Summary:
**Space group**: P4/mbm (127)
**E above lowest polymorph**: 0 meV per atom

***

First-principles (PBE) data for a geometry-optimized V3GaI structure, as listed in the Alexandria database.

a b c (Å): 4.7499 4.7499 4.7499
angles (deg): 90.00 90.00 90.00
Closest atoms and distances in Å follow each position.
Sites, in units of the cell vectors:
V (0.0000, 0.0000, 0.5000)  2 I 2.37
V (0.0000, 0.5000, 0.0000)  2 I 2.37
V (0.5000, 0.0000, 0.0000)  2 I 2.37
Ga (0.5000, 0.5000, 0.5000)  12 V 3.36
I (0.0000, 0.0000, 0.0000)  6 V 2.37

Summary:
**Space group**: Pm-3m (221)
**E above lowest polymorph**: 478 meV per atom

***

First-principles (PBE) data for a geometry-optimized VGa2I2 structure, as listed in the Alexandria database.

a b c (Å): 5.8753 5.8753 5.8753
angles (deg): 116.93 116.93 95.40
Closest atoms and distances in Å follow each position.
Sites, in units of the cell vectors:
V (0.0000, 0.0000, 0.0000)  2 Ga 2.65
Ga (0.3347, 0.3347, 0.0000)  1 Ga 2.61, 1 V 2.65
Ga (0.6653, 0.6653, 0.0000)  1 Ga 2.61, 1 V 2.65
I (0.2500, 0.7500, 0.5000)  4 Ga 3.14
I (0.7500, 0.2500, 0.5000)  4 Ga 3.14

Summary:
**Space group**: I4/mmm (139)
**E above lowest polymorph**: 13 meV per atom

***

First-principles (PBE) data for a geometry-optimized VGaI3 structure, as listed in the Alexandria database.

a b c (Å): 5.6250 5.6250 5.6250
angles (deg): 90.00 90.00 90.00
Closest atoms and distances in Å follow each position.
Sites, in units of the cell vectors:
V (0.0000, 0.0000, 0.0000)  6 I 2.81
Ga (0.5000, 0.5000, 0.5000)  12 I 3.98
I (0.0000, 0.0000, 0.5000)  2 V 2.81
I (0.0000, 0.5000, 0.0000)  2 V 2.81
I (0.5000, 0.0000, 0.0000)  2 V 2.81

Summary:
**Space group**: Pm-3m (221)
**E above lowest polymorph**: 0 meV per atom

***

First-principles (PBE) data for a geometry-optimized VGaI3 structure, as listed in the Alexandria database.

a b c (Å): 5.6732 5.6732 5.6732
angles (deg): 90.00 90.00 90.00
Closest atoms and distances in Å follow each position.
Sites, in units of the cell vectors:
V (0.0000, 0.0000, 0.0000)  12 I 4.01
Ga (0.5000, 0.5000, 0.5000)  6 I 2.84
I (0.0000, 0.5000, 0.5000)  2 Ga 2.84
I (0.5000, 0.0000, 0.5000)  2 Ga 2.84
I (0.5000, 0.5000, 0.0000)  2 Ga 2.84

Summary:
**Space group**: Pm-3m (221)
**E above lowest polymorph**: 611 meV per atom

***

First-principles (PBE) data for a geometry-optimized VGa2I structure, as listed in the Alexandria database.

a b c (Å): 7.9158 7.9158 7.9158
angles (deg): 131.91 131.91 70.38
Closest atoms and distances in Å follow each position.
Sites, in units of the cell vectors:
V (0.0000, 0.0000, 0.0000)  4 Ga 2.60
V (0.7500, 0.2500, 0.5000)  4 Ga 2.60
Ga (0.0675, 0.6250, 0.9425)  2 V 2.60
Ga (0.3750, 0.3175, 0.4425)  2 V 2.60
Ga (0.6825, 0.1250, 0.0575)  2 V 2.60
Ga (0.8750, 0.9325, 0.5575)  2 V 2.60
I (0.2500, 0.7500, 0.5000)  4 Ga 3.03
I (0.5000, 0.5000, 0.0000)  4 Ga 3.03

Summary:
**Space group**: I-42d (122)
**E above lowest polymorph**: 0 meV per atom

***

Number 1: ΔE_f (raw) -57 kJ/mol of atoms, total magnetic moment 5.0 μB per formula unit. Number 2: ΔE_f (raw) -53 kJ/mol of atoms, total magnetic moment 1.1 μB per formula unit. Number 3: ΔE_f (raw) -51 kJ/mol of atoms, total magnetic moment 2.3 μB per formula unit. Number 4: ΔE_f (raw) -51 kJ/mol of atoms, total magnetic moment 2.0 μB per formula unit. Number 5: ΔE_f (raw) 104 kJ/mol of atoms, total magnetic moment 9.0 μB per formula unit. Number 6: ΔE_f (raw) -43 kJ/mol of atoms, total magnetic moment 3.0 μB per formula unit. Number 7: ΔE_f (raw) 36 kJ/mol of atoms, total magnetic moment 3.5 μB per formula unit. Number 8: ΔE_f (raw) 150 kJ/mol of atoms, total magnetic moment 1.5 μB per formula unit. Number 9: ΔE_f (raw) 37 kJ/mol of atoms, total magnetic moment 3.4 μB per formula unit. Number 10: ΔE_f (raw) -16 kJ/mol of atoms, total magnetic moment 3.0 μB per formula unit. Number 11: ΔE_f (raw) 43 kJ/mol of atoms, total magnetic moment 3.8 μB per formula unit. Number 12: ΔE_f (raw) 65 kJ/mol of atoms, total magnetic moment 4.2 μB per formula unit.